# UTaPd, relaxed, DFT PBE
data_UTaPd
_chemical_formula_sum 'U4 Ta4 Pd4'
_symmetry_space_group_name_H-M 'F -4 3 m'
_symmetry_Int_Tables_number 216
_symmetry_space_group_name_Hall 'F -4 2 3'
_cell_length_a 6.4132
_cell_length_b 6.4132
_cell_length_c 6.4132
_cell_angle_alpha 90.00
_cell_angle_beta 90.00
_cell_angle_gamma 90.00
loop_
_atom_site_label
_atom_site_type_symbol
_atom_site_fract_x
_atom_site_fract_y
_atom_site_fract_z
_atom_site_occupancy
U1 U 0.0000 0.0000 0.0000 1
Ta1 Ta 0.2500 0.2500 0.2500 1
Pd1 Pd 0.2500 0.2500 0.7500 1
# formation energy = 0.88 eV per atom
# E_tot = -8.563 eV per atom
# crystal system = cubic